Record 1
5
Lattice="-3.304 1.865 1.249 1.146 -0.509 3.792 1.930 3.495 -0.114" Properties=species:S:1:pos:R:3 comment="VGaB3 | the Alexandria database | GGA-PBE | relaxed" dos_ef_per_ev_cell=5.58 formation_enthalpy_0k_ev_per_fu=9.5 energy_ev_per_atom=-4.526 magmom_total_mub_per_cell=2.1 relative_energy_ev_per_atom=0.607 crystal_system=cubic space_group="No. 221" mass_density_g_cm3=3.99 pbc="T T T"
B 0.573 -0.255 1.896
B 0.965 1.747 -0.057
B -1.652 0.932 0.624
Ga 0.000 0.000 0.000
V -0.114 2.425 2.463

---

Record 2
16
Lattice="-3.196 -4.749 -1.045 2.762 -0.744 -5.067 3.983 -0.339 5.561" Properties=species:S:1:pos:R:3 comment="V5GaB2 | the Alexandria database | GGA-PBE | relaxed" dos_ef_per_ev_cell=9.47 formation_enthalpy_0k_ev_per_fu=-4.0 energy_ev_per_atom=-8.241 magmom_total_mub_per_cell=0.0 crystal_system=tetragonal space_group="No. 140" mass_density_g_cm3=6.20 pbc="T T T"
V 3.136 -3.319 -0.010
V 1.151 -4.617 -4.242
V 0.000 0.000 0.000
V -0.217 -2.746 -3.056
V 2.398 -1.215 3.691
V 1.243 -3.709 2.356
V 4.291 -0.825 1.325
V 2.306 -2.123 -2.907
V -0.742 -5.007 -1.876
V 0.413 -2.513 -0.541
Ga 1.666 -4.289 -1.803
Ga 1.883 -1.543 1.253
B 0.689 -0.837 -2.067
B -1.648 -3.012 -1.231
B 1.214 -2.481 -4.880
B -1.124 -4.656 -4.045